The following is a PBE calculation of a relaxed structure of CaTlGe, from the Alexandria database.

```
data_CaTlGe
_chemical_formula_sum 'Ca2 Tl2 Ge2'
_cell_length_a 3.9977
_cell_length_b 4.4107
_cell_length_c 9.5628
_cell_angle_alpha 103.31
_cell_angle_beta 94.45
_cell_angle_gamma 90.06
_symmetry_space_group_name_H-M 'P -1'
_symmetry_Int_Tables_number 2
loop_
_symmetry_equiv_pos_as_xyz
'x,y,z'
'-x,-y,-z'
loop_
_atom_site_label
_atom_site_type_symbol
_atom_site_fract_x
_atom_site_fract_y
_atom_site_fract_z
Ca1 Ca 0.2218 0.4114 0.3223
Tl1 Tl 0.2529 0.2097 0.9195
Ge1 Ge 0.2654 0.0447 0.5868
```

Properties
- Excess energy over the best structure of this formula in the dataset: 0 meV per atom
- Spin magnetization: 0.000 μB/cell
- Energy relative to the elements: -0.407 eV/atom
- Volume: 27.26 A^3/atom

The following is a PBE calculation of a relaxed structure of Ca4Tl3Ge, from the Alexandria database.

```
data_Ca4Tl3Ge
_chemical_formula_sum 'Ca4 Tl3 Ge1'
_cell_length_a 3.8060
_cell_length_b 3.8060
_cell_length_c 15.5626
_cell_angle_alpha 90.00
_cell_angle_beta 90.00
_cell_angle_gamma 90.00
_symmetry_space_group_name_H-M 'P 4/m m m'
_symmetry_Int_Tables_number 123
_symmetry_space_group_name_Hall '-P 4 2'
loop_
_atom_site_label
_atom_site_type_symbol
_atom_site_fract_x
_atom_site_fract_y
_atom_site_fract_z
Ca1 Ca 0.0000 0.0000 0.1112
Ca2 Ca 0.0000 0.0000 0.3710
Tl1 Tl 0.5000 0.5000 0.2437
Tl2 Tl 0.5000 0.5000 0.5000
Ge1 Ge 0.5000 0.5000 0.0000
```

Properties
- Spin magnetization: 0.000 μB/cell
- Energy relative to the elements: -0.451 eV/atom
- Volume: 28.18 A^3/atom

The following is a PBE calculation of a relaxed structure of Ca6TlGe2, from the Alexandria database.

```
data_Ca6TlGe2
_chemical_formula_sum 'Ca24 Tl4 Ge8'
_cell_length_a 9.9611
_cell_length_b 10.0032
_cell_length_c 10.9646
_cell_angle_alpha 90.00
_cell_angle_beta 90.00
_cell_angle_gamma 90.00
_symmetry_space_group_name_H-M 'I m m m'
_symmetry_Int_Tables_number 71
_symmetry_space_group_name_Hall '-I 2 2'
loop_
_atom_site_label
_atom_site_type_symbol
_atom_site_fract_x
_atom_site_fract_y
_atom_site_fract_z
Ca1 Ca 0.0000 0.1932 0.1710
Ca2 Ca 0.1828 0.2181 0.5000
Ca3 Ca 0.1997 0.5000 0.2535
Tl1 Tl 0.0000 0.5000 0.0000
Tl2 Tl 0.0000 0.5000 0.5000
Ge1 Ge 0.0000 0.0000 0.3813
Ge2 Ge 0.1547 0.0000 0.0000
```

Properties
- Spin magnetization: 6.437 μB/cell
- Energy relative to the elements: -0.463 eV/atom
- Volume: 30.35 A^3/atom

The following is a PBE calculation of a relaxed structure of CaTlGe, from the Alexandria database.

```
data_CaTlGe
_chemical_formula_sum 'Ca6 Tl6 Ge6'
_cell_length_a 3.9545
_cell_length_b 3.9545
_cell_length_c 37.3578
_cell_angle_alpha 90.00
_cell_angle_beta 90.00
_cell_angle_gamma 120.00
_symmetry_space_group_name_H-M 'R 3 m'
_symmetry_Int_Tables_number 160
_symmetry_space_group_name_Hall 'R 3 -2"'
loop_
_atom_site_label
_atom_site_type_symbol
_atom_site_fract_x
_atom_site_fract_y
_atom_site_fract_z
Ca1 Ca 0.0000 0.0000 0.0000
Ca2 Ca 0.0000 0.0000 0.4752
Tl1 Tl 0.0000 0.0000 0.2082
Tl2 Tl 0.0000 0.0000 0.6018
Ge1 Ge 0.0000 0.0000 0.0859
Ge2 Ge 0.0000 0.0000 0.3890
```

Properties
- Excess energy over the best structure of this formula in the dataset: 88 meV per atom
- Spin magnetization: 0.000 μB/cell
- Energy relative to the elements: -0.319 eV/atom
- Volume: 28.11 A^3/atom

The following is a PBE calculation of a relaxed structure of CaTmTlGe, from the Alexandria database.

```
data_CaTmTlGe
_chemical_formula_sum 'Ca4 Tm4 Tl4 Ge4'
_cell_length_a 7.4120
_cell_length_b 7.4120
_cell_length_c 7.4120
_cell_angle_alpha 90.00
_cell_angle_beta 90.00
_cell_angle_gamma 90.00
_symmetry_space_group_name_H-M 'F -4 3 m'
_symmetry_Int_Tables_number 216
_symmetry_space_group_name_Hall 'F -4 2 3'
loop_
_atom_site_label
_atom_site_type_symbol
_atom_site_fract_x
_atom_site_fract_y
_atom_site_fract_z
Ca1 Ca 0.0000 0.0000 0.0000
Tm1 Tm 0.0000 0.0000 0.5000
Tl1 Tl 0.2500 0.2500 0.2500
Ge1 Ge 0.2500 0.2500 0.7500
```

Properties
- Spin magnetization: 0.000 μB/cell
- Energy relative to the elements: -0.394 eV/atom
- Volume: 25.45 A^3/atom

The following is a PBE calculation of a relaxed structure of CaYTlGe, from the Alexandria database.

```
data_CaYTlGe
_chemical_formula_sum 'Ca4 Y4 Tl4 Ge4'
_cell_length_a 7.4628
_cell_length_b 7.4628
_cell_length_c 7.4628
_cell_angle_alpha 90.00
_cell_angle_beta 90.00
_cell_angle_gamma 90.00
_symmetry_space_group_name_H-M 'F -4 3 m'
_symmetry_Int_Tables_number 216
_symmetry_space_group_name_Hall 'F -4 2 3'
loop_
_atom_site_label
_atom_site_type_symbol
_atom_site_fract_x
_atom_site_fract_y
_atom_site_fract_z
Ca1 Ca 0.0000 0.0000 0.0000
Y1 Y 0.0000 0.0000 0.5000
Tl1 Tl 0.2500 0.2500 0.2500
Ge1 Ge 0.2500 0.2500 0.7500
```

Properties
- Spin magnetization: 0.000 μB/cell
- Energy relative to the elements: -0.431 eV/atom
- Volume: 25.98 A^3/atom

| no. | calculated density (Mg/m³) |
| --- | --- |
| 1 | 6.44 |
| 2 | 6.23 |
| 3 | 3.59 |
| 4 | 6.24 |
| 5 | 7.93 |
| 6 | 6.49 |